1.
Compound: U2CuP2H24O24
Source: Alexandria via LeMat-Bulk
Functional: PBE
Structure: relaxed

Structure (extended XYZ):
```
106
Lattice="-1.091 -4.135 5.610 -0.570 -5.607 -4.243 20.611 -3.292 1.583" Properties=species:S:1:pos:R:3 pbc="T T T"
H 17.709 -9.361 2.402
H 1.891 -3.889 2.860
H 18.227 -6.385 1.854
H 0.320 -2.386 -0.943
H 17.430 -6.970 -0.215
H 7.493 -5.655 4.739
H 1.234 -3.653 0.676
H 11.593 -9.544 3.167
H 18.037 -8.163 0.622
H 19.535 -7.215 -0.764
H 9.194 -5.467 -0.870
H -0.762 -7.550 2.404
H 16.834 -8.510 4.342
H 1.401 -7.231 2.282
H 10.510 -4.709 -0.056
H 11.096 -6.360 5.035
H 7.832 -6.800 -2.067
H 2.234 -3.356 -0.508
H 8.241 -2.864 0.799
H 0.891 -4.997 2.346
H 18.805 -8.916 5.204
H 17.432 -5.474 2.868
H 1.745 -6.699 -1.086
H 8.536 -7.372 3.727
H 11.859 -3.424 1.205
H 6.413 -9.027 0.560
H 10.189 -5.028 3.465
H 9.981 -8.200 -0.420
H 10.715 -10.189 2.024
H -0.288 -6.656 -1.897
H 19.575 -5.100 3.115
H 11.479 -7.253 -1.806
H 8.575 -8.708 0.439
H 16.832 -10.006 1.259
H 9.659 -8.519 3.100
H 6.493 -6.763 4.225
H 17.898 -7.584 3.634
H -0.153 -3.280 3.358
H 12.654 -4.335 0.190
H 12.160 -5.434 4.327
H 9.154 -4.131 2.418
H 7.084 -9.591 1.873
H 7.160 -5.425 -1.681
H 7.240 -3.161 1.983
H 18.765 -11.031 1.326
H 12.086 -8.446 -0.969
H 1.073 -5.323 -0.701
H 0.730 -6.667 0.969
P 14.912 -4.537 3.993
P 15.173 -5.272 -0.934
P 4.607 -2.890 3.201
P 4.868 -3.626 -1.726
O 15.132 -8.421 5.263
O 11.865 -3.744 0.256
O 15.550 -7.487 1.942
O 8.002 -5.814 -2.022
O 11.980 -6.917 1.668
O 4.015 -2.670 -0.843
O 6.075 -0.970 0.467
O -0.156 -1.535 -1.162
O 9.319 -8.052 0.314
O 18.226 -7.230 0.309
O 1.030 -4.006 2.389
O 14.097 -5.626 0.133
O 2.811 -8.427 2.862
O 6.970 -6.117 1.283
O 9.774 -5.385 -0.061
O 11.290 -8.185 -1.493
O 10.679 -9.864 2.971
O 15.989 -4.183 2.926
O 0.633 -6.697 1.966
O 4.897 -6.972 3.147
O 7.181 -9.561 0.877
O 17.746 -9.686 1.455
O 5.460 -3.846 2.318
O 2.505 -0.400 0.192
O 17.740 -8.522 3.949
O 18.106 -2.892 1.391
O 5.566 -4.706 -0.849
O -0.299 -1.132 1.536
O 5.003 -7.832 -0.019
O 14.536 -2.322 1.117
O 9.176 -7.649 3.011
O -0.793 -3.003 4.074
O 13.574 -8.866 0.197
O 13.862 -5.523 3.406
O 18.220 -6.065 2.803
O 0.903 -6.310 -0.746
O 8.174 -2.898 1.798
O 7.353 -6.646 4.696
O 11.254 -5.422 4.720
O 15.942 -6.550 -1.381
O 3.400 -5.546 1.009
O 3.486 -3.679 3.938
O 1.300 -3.619 -0.322
O -0.414 -4.072 -3.081
O 3.339 -7.418 -1.919
O 15.085 -10.787 0.956
O 13.339 -8.763 3.470
O 9.631 -4.982 2.637
Cu 0.000 0.000 0.000
Cu 9.475 -6.517 1.475
U 16.317 -2.606 1.254
U 5.182 -5.831 1.145
U 4.293 -0.686 0.330
U 13.768 -7.203 1.805
```

calculated volume = 520.8 Å³/f.u.
uncorrected energy = -5.98 eV/atom

2.
Compound: La2Mg12Ag5
Source: Alexandria via LeMat-Bulk
Functional: PBE
Structure: relaxed

Structure (extended XYZ):
```
19
Lattice="7.556 0.163 0.813 0.747 7.520 0.813 0.176 0.163 7.597" Properties=species:S:1:pos:R:3 pbc="T T T"
Mg 2.738 5.369 0.813
Mg 5.565 2.314 0.813
Mg 5.398 0.163 2.796
Mg 2.986 2.763 7.119
Mg 3.284 6.609 3.572
Mg 6.843 2.763 3.572
Mg 0.343 2.314 5.613
Mg 2.334 0.163 5.613
Mg 1.635 5.083 5.650
Mg 5.195 1.237 5.650
Mg 0.580 5.369 2.796
Mg 5.493 5.083 2.103
Ag 0.374 3.760 0.406
Ag 3.778 0.081 0.406
Ag 0.845 0.782 0.919
Ag 7.634 7.064 8.303
Ag 0.088 0.081 3.799
La 5.603 5.185 6.094
La 2.876 2.661 3.128
```

calculated volume = 428.8 Å³/f.u.
E_form = -166.7 meV/atom